Record 1
A plane-wave DFT calculation with GGA-PBE was carried out for AgTe2Cl after structural relaxation.

```
data_AgTe2Cl
_chemical_formula_sum 'Ag4 Te8 Cl4'
_space_group_name_H-M_alt 'P 1 21/c 1'
_space_group_IT_number 14
_cell_length_a 8.7857
_cell_length_b 5.3528
_cell_length_c 12.6617
_cell_angle_alpha 90.00
_cell_angle_beta 118.32
_cell_angle_gamma 90.00
loop_
_space_group_symop_operation_xyz
'x,y,z'
'-x,-y,-z'
'-x,y+1/2,-z+1/2'
'x,-y+1/2,z+1/2'
loop_
_atom_site_label
_atom_site_type_symbol
_atom_site_fract_x
_atom_site_fract_y
_atom_site_fract_z
Ag1 Ag 0.1892 0.1120 0.2575
Te1 Te 0.2753 0.0214 0.6400
Te2 Te 0.4429 0.7424 0.3602
Cl1 Cl 0.0642 0.2027 0.8884
```

Calculated values
Formation energy (no corrections): -0.2534 eV/atom
Density: 5050 kg/m3
Total magnetization: 0.00 μB/cell

Record 2
A plane-wave DFT calculation with GGA-PBE was carried out for LiI2N after structural relaxation.

```
data_LiI2N
_chemical_formula_sum 'Li4 I8 N4'
_space_group_name_H-M_alt 'F m -3 m'
_space_group_IT_number 225
_space_group_name_Hall '-F 4 2 3'
_cell_length_a 7.4688
_cell_length_b 7.4688
_cell_length_c 7.4688
_cell_angle_alpha 90.00
_cell_angle_beta 90.00
_cell_angle_gamma 90.00
loop_
_atom_site_label
_atom_site_type_symbol
_atom_site_fract_x
_atom_site_fract_y
_atom_site_fract_z
Li1 Li 0.0000 0.0000 0.0000
I1 I 0.2500 0.2500 0.2500
N1 N 0.0000 0.0000 0.5000
```

Calculated values
Formation energy (no corrections): 0.9078 eV/atom
ΔE to the lowest computed polymorph: 0.389 eV/atom
Density: 4380 kg/m3
Total magnetization: 9.70 μB/cell

Record 3
A plane-wave DFT calculation with GGA-PBE was carried out for ReNiB2Cl after structural relaxation.

```
data_ReNiB2Cl
_chemical_formula_sum 'Re1 Ni1 B2 Cl1'
_space_group_name_H-M_alt 'P 4/m m m'
_space_group_IT_number 123
_space_group_name_Hall '-P 4 2'
_cell_length_a 4.0450
_cell_length_b 4.0450
_cell_length_c 5.0763
_cell_angle_alpha 90.00
_cell_angle_beta 90.00
_cell_angle_gamma 90.00
loop_
_atom_site_label
_atom_site_type_symbol
_atom_site_fract_x
_atom_site_fract_y
_atom_site_fract_z
Re1 Re 0.0000 0.0000 0.0000
Ni1 Ni 0.0000 0.0000 0.5000
B1 B 0.0000 0.5000 0.0000
Cl1 Cl 0.5000 0.5000 0.5000
```

Calculated values
Formation energy (no corrections): 1.3560 eV/atom
Density: 6037 kg/m3
Total magnetization: 1.23 μB/cell

Copy entry 3 word for word.
A plane-wave DFT calculation with GGA-PBE was carried out for ReNiB2Cl after structural relaxation.

```
data_ReNiB2Cl
_chemical_formula_sum 'Re1 Ni1 B2 Cl1'
_space_group_name_H-M_alt 'P 4/m m m'
_space_group_IT_number 123
_space_group_name_Hall '-P 4 2'
_cell_length_a 4.0450
_cell_length_b 4.0450
_cell_length_c 5.0763
_cell_angle_alpha 90.00
_cell_angle_beta 90.00
_cell_angle_gamma 90.00
loop_
_atom_site_label
_atom_site_type_symbol
_atom_site_fract_x
_atom_site_fract_y
_atom_site_fract_z
Re1 Re 0.0000 0.0000 0.0000
Ni1 Ni 0.0000 0.0000 0.5000
B1 B 0.0000 0.5000 0.0000
Cl1 Cl 0.5000 0.5000 0.5000
```

Calculated values
Formation energy (no corrections): 1.3560 eV/atom
Density: 6037 kg/m3
Total magnetization: 1.23 μB/cell

Question: density of number 2 (LiI2N)?
Answer: 4380 kg/m3